Computed, not measured: a geometry-optimized Cu13Ag7 structure at the GGA-PBE level of DFT.

Output
**Energy of formation from the pure elements**: 1.83 eV/f.u.
**DFT total energy**: -66.27 eV for the cell shown

Structure (POSCAR):
```
Cu13Ag7
1.0
-4.975 0.994 -2.091
2.693 -3.011 -4.305
-1.061 -7.310 5.811
Cu Ag
13 7
Cartesian
-0.171 -7.278 0.003 Cu
-3.037 -3.248 1.904 Cu
-3.706 -5.744 2.340 Cu
0.533 -4.713 -0.463 Cu
-3.445 -0.890 -3.078 Cu
-1.571 -5.230 0.920 Cu
0.176 -8.237 2.441 Cu
-2.462 -6.752 -1.029 Cu
-1.741 -4.271 -1.443 Cu
-0.808 -2.742 0.404 Cu
-2.291 -7.647 1.388 Cu
-0.827 -9.664 0.462 Cu
-1.361 -6.197 3.337 Cu
-4.036 -4.805 -0.137 Ag
-0.972 -1.425 -1.971 Ag
0.455 -3.639 -2.906 Ag
2.075 -6.689 -1.335 Ag
-3.260 -9.200 -0.584 Ag
-2.075 -3.054 -3.883 Ag
-3.283 -2.161 -0.710 Ag
```